# 1
A relaxed structure of CaCoPd3. Source: Alexandria, functional GGA-PBEsol.

Output
Energy relative to the elements (eV per atom): 0.17
Crystal system: cubic
Total magnetization (μB per formula unit): 2.8
Calculated density (g/cm³): 7.271
D(E_F) (states/eV/f.u.): 3.97

abc: 4.5713 4.5713 4.5713
angles: 90.00 90.00 90.00
Last column: nearest neighbours and their distance in Å.
Space group Pm-3m (No. 221)
Inequivalent atoms, fractional coordinates:
1 Ca 0.0000 0.0000 0.0000 [1 per cell]  12 Pd 3.23
2 Co 0.5000 0.5000 0.5000 [1 per cell]  6 Pd 2.29
3 Pd 0.0000 0.5000 0.5000 [3 per cell]  2 Co 2.29

# 2
A relaxed structure of CaCo2Pt. Source: Alexandria, functional GGA-PBEsol.

Output
Energy relative to the elements (eV per atom): 0.21
Crystal system: tetragonal
Total magnetization (μB per formula unit): 3.4
Calculated density (g/cm³): 9.828
D(E_F) (states/eV/f.u.): 5.88

abc: 3.9276 3.9276 7.7332
angles: 90.00 90.00 90.00
Last column: nearest neighbours and their distance in Å.
Space group I-4m2 (No. 119)
Inequivalent atoms, fractional coordinates:
1 Ca 0.0000 0.0000 0.0000 [2 per cell]  8 Co 2.76-2.78, 4 Pt 2.76
2 Co 0.0000 0.0000 0.5000 [2 per cell]  4 Co 2.76, 4 Pt 2.76, 4 Ca 2.78
3 Co 0.0000 0.5000 0.2500 [2 per cell]  4 Co 2.76, 4 Ca 2.76, 4 Pt 2.78
4 Pt 0.0000 0.5000 0.7500 [2 per cell]  8 Co 2.76-2.78, 4 Ca 2.76

# 3
A relaxed structure of CaCoPt. Source: Alexandria, functional GGA-PBEsol.

Output
Energy relative to the elements (eV per atom): -0.10
Crystal system: orthorhombic
Total magnetization (μB per formula unit): 1.8
Calculated density (g/cm³): 9.210
D(E_F) (states/eV/f.u.): 3.19

abc: 2.8645 3.7936 9.7586
angles: 90.00 90.00 90.00
Last column: nearest neighbours and their distance in Å.
Space group Imm2 (No. 44)
Inequivalent atoms, fractional coordinates:
1 Ca 0.0000 0.0000 0.0000 [2 per cell]  1 Co 2.78, 2 Ca 2.86, 5 Pt 2.89-3.10
2 Co 0.0000 0.0000 0.7148 [2 per cell]  4 Pt 2.50, 1 Ca 2.78
3 Pt 0.0000 0.0000 0.2958 [2 per cell]  4 Co 2.50

# 4
A relaxed structure of CaCoPt2. Source: Alexandria, functional GGA-PBEsol.

Output
Energy relative to the elements (eV per atom): -0.12
Crystal system: tetragonal
Total magnetization (μB per formula unit): 2.4
Calculated density (g/cm³): 12.772
D(E_F) (states/eV/f.u.): 4.37

abc: 3.9483 3.9483 8.1599
angles: 90.00 90.00 90.00
Last column: nearest neighbours and their distance in Å.
Space group I-4m2 (No. 119)
Inequivalent atoms, fractional coordinates:
1 Ca 0.0000 0.0000 0.0000 [2 per cell]  8 Pt 2.79-2.84, 4 Co 2.84
2 Co 0.0000 0.5000 0.2500 [2 per cell]  8 Pt 2.79-2.84, 4 Ca 2.84
3 Pt 0.0000 0.0000 0.5000 [2 per cell]  4 Ca 2.79, 4 Co 2.84, 4 Pt 2.84
4 Pt 0.0000 0.5000 0.7500 [2 per cell]  4 Co 2.79, 4 Ca 2.84, 4 Pt 2.84

# 5
A relaxed structure of Ca2CoRe. Source: Alexandria, functional GGA-PBEsol.

Output
Energy relative to the elements (eV per atom): 0.39
Energy above the most stable polymorph in this dataset (meV/atom): 0
Crystal system: monoclinic
Total magnetization (μB per formula unit): 0.0
Calculated density (g/cm³): 6.479
D(E_F) (states/eV/f.u.): 3.21

abc: 3.0754 3.0758 8.8137
angles: 90.00 90.19 90.00
Last column: nearest neighbours and their distance in Å.
Space group Pm (No. 6)
Inequivalent atoms, fractional coordinates:
1 Ca 0.0000 0.0000 0.0000 [1 per cell]  4 Ca 3.08, 4 Re 3.10, 1 Co 3.30
2 Ca 0.4928 0.5000 0.3891 [1 per cell]  4 Co 3.01, 4 Ca 3.08, 1 Re 3.18
3 Co 0.9958 0.0000 0.6254 [1 per cell]  4 Re 2.43
4 Re 0.4971 0.5000 0.7494 [1 per cell]  4 Co 2.43

# 6
A relaxed structure of Ca2CoRe. Source: Alexandria, functional GGA-PBEsol.

Output
Energy relative to the elements (eV per atom): 0.92
Energy above the most stable polymorph in this dataset (meV/atom): 534
Crystal system: trigonal
Total magnetization (μB per formula unit): 0.5
Calculated density (g/cm³): 7.596
D(E_F) (states/eV/f.u.): 3.74

abc: 2.9666 2.9666 27.9902
angles: 90.00 90.00 120.00
Last column: nearest neighbours and their distance in Å.
Space group R-3m (No. 166, hexagonal axes)
Inequivalent atoms, fractional coordinates:
1 Ca 0.0000 0.0000 0.2433 [6 per cell]  3 Co 2.75, 6 Ca 2.97, 3 Re 3.05
2 Co 0.0000 0.0000 0.5000 [3 per cell]  6 Ca 2.75, 6 Co 2.97
3 Re 0.0000 0.0000 0.0000 [3 per cell]  6 Re 2.97, 6 Ca 3.05